Record 1
LiNi3N | GGA-PBE | relaxed

Calculated values
ΔE_f (raw) = -0.04 eV/atom
Crystal system = orthorhombic
Energy above the most stable polymorph in this dataset = 0.116 eV per atom

a b c (Å): 3.6757 3.7693 15.2588
angles (deg): 90.00 90.00 90.00
Space group Imma (No. 74)
Unique sites:
Li 0.0000 0.2500 0.1863
Ni 0.0000 0.2500 0.4446
Ni 0.0000 0.2500 0.6979
Ni 0.0000 0.2500 0.9248
N 0.0000 0.2500 0.5795

Record 2
LiNi3N | GGA-PBE | relaxed

Calculated values
ΔE_f (raw) = 0.16 eV/atom
Crystal system = tetragonal
Energy above the most stable polymorph in this dataset = 0.315 eV per atom

a b c (Å): 4.6622 4.6622 11.1751
angles (deg): 90.00 90.00 90.00
Space group I-4m2 (No. 119)
Unique sites:
Li 0.0000 0.0000 0.1796
Ni 0.0000 0.2600 0.3830
Ni 0.0000 0.5000 0.5770
N 0.0000 0.0000 0.5000
N 0.0000 0.5000 0.2500

no.,density of states at the Fermi level (states/eV per cell),theoretical density (g cm⁻³)
1,13.9,6.2
2,14.9,5.4